(1)
A relaxed Rb2CaTe2 crystal, computed with PBE.

Cell and atoms, written as CIF:
```
data_Rb2CaTe2
_chemical_formula_sum 'Rb4 Ca2 Te4'
_symmetry_space_group_name_H-M 'P 1'
_symmetry_Int_Tables_number 1
_cell_length_a 8.857
_cell_length_b 8.857
_cell_length_c 5.336
_cell_angle_alpha 90.00
_cell_angle_beta 90.00
_cell_angle_gamma 90.00
loop_
_symmetry_equiv_pos_as_xyz
'x,y,z'
loop_
_atom_site_label
_atom_site_fract_x
_atom_site_fract_y
_atom_site_fract_z
Rb1 0.132 0.368 0.000
Rb2 0.368 0.868 0.000
Rb3 0.632 0.132 0.000
Rb4 0.868 0.632 0.000
Ca1 0.000 0.000 0.500
Ca2 0.500 0.500 0.500
Te1 0.181 0.681 0.500
Te2 0.319 0.181 0.500
Te3 0.681 0.819 0.500
Te4 0.819 0.319 0.500
```

Summary:
D(E_F) (states/eV per atom): 0.0000
Formation energy from raw total energies (meV per atom): -1004
Energy above the most stable polymorph in this dataset (eV per atom): 0.224
Space-group type: P4/mbm, No. 127

---

(2)
A relaxed Zr2PdCl crystal, computed with PBE.

Cell and atoms, written as CIF:
```
data_Zr2PdCl
_chemical_formula_sum 'Zr4 Pd2 Cl2'
_symmetry_space_group_name_H-M 'P 1'
_symmetry_Int_Tables_number 1
_cell_length_a 5.961
_cell_length_b 5.961
_cell_length_c 5.961
_cell_angle_alpha 107.13
_cell_angle_beta 107.13
_cell_angle_gamma 114.26
loop_
_symmetry_equiv_pos_as_xyz
'x,y,z'
loop_
_atom_site_label
_atom_site_fract_x
_atom_site_fract_y
_atom_site_fract_z
Zr1 0.104 0.125 0.479
Zr2 0.375 0.896 0.021
Zr3 0.646 0.625 0.521
Zr4 0.875 0.354 0.979
Pd1 0.250 0.750 0.500
Pd2 0.500 0.500 0.000
Cl1 0.000 0.000 0.000
Cl2 0.750 0.250 0.500
```

Summary:
D(E_F) (states/eV per atom): 0.8969
Formation energy from raw total energies (meV per atom): -354
Energy above the most stable polymorph in this dataset (eV per atom): 0.049
Space-group type: I-42d, No. 122

---

(3)
A relaxed Ho3Zn9Ag2 crystal, computed with PBE.

Cell and atoms, written as CIF:
```
data_Ho3Zn9Ag2
_chemical_formula_sum 'Ho3 Zn9 Ag2'
_symmetry_space_group_name_H-M 'P 1'
_symmetry_Int_Tables_number 1
_cell_length_a 8.234
_cell_length_b 8.234
_cell_length_c 8.234
_cell_angle_alpha 148.99
_cell_angle_beta 115.32
_cell_angle_gamma 73.46
loop_
_symmetry_equiv_pos_as_xyz
'x,y,z'
loop_
_atom_site_label
_atom_site_fract_x
_atom_site_fract_y
_atom_site_fract_z
Ho1 0.000 0.000 0.000
Ho2 0.294 0.294 0.000
Ho3 0.706 0.706 0.000
Zn1 0.025 0.665 0.360
Zn2 0.144 0.862 0.281
Zn3 0.305 0.665 0.640
Zn4 0.419 0.138 0.281
Zn5 0.500 0.000 0.500
Zn6 0.581 0.862 0.719
Zn7 0.695 0.335 0.360
Zn8 0.856 0.138 0.719
Zn9 0.975 0.335 0.640
Ag1 0.313 0.500 0.813
Ag2 0.687 0.500 0.187
```

Summary:
D(E_F) (states/eV per atom): 0.5069
Space-group type: Immm, No. 71

---

(4)
A relaxed ScH crystal, computed with PBE.

Cell and atoms, written as CIF:
```
data_ScH
_chemical_formula_sum 'Sc2 H2'
_symmetry_space_group_name_H-M 'P 1'
_symmetry_Int_Tables_number 1
_cell_length_a 3.338
_cell_length_b 3.338
_cell_length_c 5.151
_cell_angle_alpha 90.00
_cell_angle_beta 90.00
_cell_angle_gamma 120.00
loop_
_symmetry_equiv_pos_as_xyz
'x,y,z'
loop_
_atom_site_label
_atom_site_fract_x
_atom_site_fract_y
_atom_site_fract_z
Sc1 0.000 0.000 0.000
Sc2 0.333 0.667 0.506
H1 0.333 0.667 0.904
H2 0.667 0.333 0.235
```

Summary:
D(E_F) (states/eV per atom): 0.5917
Space-group type: P3m1, No. 156

---

(5)
A relaxed Nd2Ga7Ir crystal, computed with PBE.

Cell and atoms, written as CIF:
```
data_Nd2Ga7Ir
_chemical_formula_sum 'Nd2 Ga7 Ir1'
_symmetry_space_group_name_H-M 'P 1'
_symmetry_Int_Tables_number 1
_cell_length_a 4.253
_cell_length_b 4.253
_cell_length_c 10.832
_cell_angle_alpha 90.00
_cell_angle_beta 90.00
_cell_angle_gamma 90.00
loop_
_symmetry_equiv_pos_as_xyz
'x,y,z'
loop_
_atom_site_label
_atom_site_fract_x
_atom_site_fract_y
_atom_site_fract_z
Nd1 0.000 0.500 0.244
Nd2 0.500 0.000 0.756
Ga1 0.000 0.000 0.000
Ga2 0.000 0.000 0.500
Ga3 0.000 0.500 0.641
Ga4 0.000 0.500 0.871
Ga5 0.500 0.000 0.129
Ga6 0.500 0.000 0.359
Ga7 0.500 0.500 0.500
Ir1 0.500 0.500 0.000
```

Summary:
D(E_F) (states/eV per atom): 0.3977
Space-group type: P-4m2, No. 115

---

(6)
A relaxed Sm2ZnSn crystal, computed with PBE.

Cell and atoms, written as CIF:
```
data_Sm2ZnSn
_chemical_formula_sum 'Sm2 Zn1 Sn1'
_symmetry_space_group_name_H-M 'P 1'
_symmetry_Int_Tables_number 1
_cell_length_a 11.185
_cell_length_b 11.185
_cell_length_c 11.185
_cell_angle_alpha 18.12
_cell_angle_beta 18.12
_cell_angle_gamma 18.12
loop_
_symmetry_equiv_pos_as_xyz
'x,y,z'
loop_
_atom_site_label
_atom_site_fract_x
_atom_site_fract_y
_atom_site_fract_z
Sm1 0.097 0.097 0.097
Sm2 0.903 0.903 0.903
Zn1 0.500 0.500 0.500
Sn1 0.000 0.000 0.000
```

Summary:
D(E_F) (states/eV per atom): 1.0959
Space-group type: R-3m, No. 166

---

(7)
A relaxed SrCd2FeGe crystal, computed with PBE.

Cell and atoms, written as CIF:
```
data_SrCd2FeGe
_chemical_formula_sum 'Sr1 Cd2 Fe1 Ge1'
_symmetry_space_group_name_H-M 'P 1'
_symmetry_Int_Tables_number 1
_cell_length_a 5.915
_cell_length_b 5.915
_cell_length_c 5.089
_cell_angle_alpha 90.00
_cell_angle_beta 90.00
_cell_angle_gamma 90.00
loop_
_symmetry_equiv_pos_as_xyz
'x,y,z'
loop_
_atom_site_label
_atom_site_fract_x
_atom_site_fract_y
_atom_site_fract_z
Sr1 0.000 0.000 0.000
Cd1 0.000 0.500 0.000
Cd2 0.500 0.000 0.000
Fe1 0.000 0.000 0.500
Ge1 0.500 0.500 0.500
```

Summary:
D(E_F) (states/eV per atom): 1.1685
Space-group type: P4/mmm, No. 123

---

(8)
A relaxed Sr5Si2Au2 crystal, computed with PBE.

Cell and atoms, written as CIF:
```
data_Sr5Si2Au2
_chemical_formula_sum 'Sr10 Si4 Au4'
_symmetry_space_group_name_H-M 'P 1'
_symmetry_Int_Tables_number 1
_cell_length_a 9.322
_cell_length_b 9.322
_cell_length_c 8.200
_cell_angle_alpha 90.00
_cell_angle_beta 90.00
_cell_angle_gamma 51.83
loop_
_symmetry_equiv_pos_as_xyz
'x,y,z'
loop_
_atom_site_label
_atom_site_fract_x
_atom_site_fract_y
_atom_site_fract_z
Sr1 0.000 0.000 0.000
Sr2 0.038 0.688 0.674
Sr3 0.188 0.538 0.174
Sr4 0.312 0.962 0.674
Sr5 0.462 0.812 0.174
Sr6 0.500 0.500 0.500
Sr7 0.538 0.188 0.826
Sr8 0.688 0.038 0.326
Sr9 0.812 0.462 0.826
Sr10 0.962 0.312 0.326
Si1 0.106 0.894 0.394
Si2 0.394 0.606 0.894
Si3 0.606 0.394 0.106
Si4 0.894 0.106 0.606
Au1 0.206 0.206 0.000
Au2 0.294 0.294 0.500
Au3 0.706 0.706 0.500
Au4 0.794 0.794 0.000
```

Summary:
D(E_F) (states/eV per atom): 0.8723
Formation energy from raw total energies (meV per atom): -532
Space-group type: Cmce, No. 64

---

| no. | total moment (μB per cell) | raw total energy (Ry per atom) |
| --- | --- | --- |
| 1 | 0.000 | -0.224 |
| 2 | 0.000 | -0.470 |
| 3 | 0.000 | -0.185 |
| 4 | 0.000 | -0.387 |
| 5 | 0.000 | -0.328 |
| 6 | 0.000 | -0.271 |
| 7 | 2.562 | -0.137 |
| 8 | 0.000 | -0.250 |